Compound: TiMoPtPb2
Source: Alexandria via LeMat-Bulk
Functional: GGA-PBE
Structure: relaxed

**Formation energy**: 1.052 eV/atom
**Energy**: -5.39 eV/atom

Unit cell a=5.2806 b=5.2806 c=4.9571 alpha=90.00 beta=90.00 gamma=90.00
Closest atoms and distances in Å follow each position.
Space group P4/mmm (No. 123)
Unique sites:
Ti  0.0000  0.0000  0.0000 [1 per cell]  2 Pt 2.48
Mo  0.5000  0.5000  0.0000 [1 per cell]  8 Pb 3.62, 4 Ti 3.73
Pt  0.0000  0.0000  0.5000 [1 per cell]  2 Ti 2.48, 4 Pb 2.64
Pb  0.0000  0.5000  0.5000 [2 per cell]  2 Pt 2.64



Compound: Ac8GaRh4
Source: Alexandria via LeMat-Bulk
Functional: GGA-PBE
Structure: relaxed

**Formation energy**: -0.515 eV/atom
**Energy**: -5.54 eV/atom

Unit cell a=19.3708 b=4.3040 c=13.8439 alpha=90.00 beta=131.37 gamma=90.00
Closest atoms and distances in Å follow each position.
Space group Cm (No. 8)
Unique sites:
Ac  0.0000  0.0000  0.0000 [2 per cell]  3 Rh 3.00-3.04
Ac  0.0035  0.0000  0.5681 [2 per cell]  3 Rh 2.98-3.02
Ac  0.1470  0.5000  0.3552 [2 per cell]  3 Rh 2.98-3.02
Ac  0.1508  0.5000  0.9234 [2 per cell]  3 Rh 3.00-3.04
Ac  0.2181  0.5000  0.7012 [2 per cell]  2 Rh 2.99
Ac  0.2838  0.0000  0.2703 [2 per cell]  3 Rh 2.92-3.24
Ac  0.3668  0.0000  0.6533 [2 per cell]  3 Rh 2.93-3.24
Ac  0.4324  0.5000  0.2220 [2 per cell]  2 Rh 2.99
Ga  0.3257  0.0000  0.9617 [2 per cell]  8 Ac 3.47-3.74
Rh  0.0005  0.5000  0.4167 [2 per cell]  5 Ac 2.98-3.24, 2 Rh 3.13
Rh  0.0030  0.0000  0.7858 [2 per cell]  6 Ac 2.93-3.04
Rh  0.1479  0.5000  0.1377 [2 per cell]  6 Ac 2.92-3.04
Rh  0.1497  0.0000  0.5064 [2 per cell]  5 Ac 2.98-3.24, 2 Rh 3.13



Compound: TlSn4PbSe8
Source: Alexandria via LeMat-Bulk
Functional: GGA-PBE
Structure: relaxed

**Energy**: -3.89 eV/atom
**Uncorrected formation energy**: -435 kJ/mol of formula units

Unit cell a=8.4730 b=8.4730 c=21.2681 alpha=90.00 beta=90.00 gamma=120.00
Closest atoms and distances in Å follow each position.
Space group R3m (No. 160, hexagonal axes)
Unique sites:
Tl  0.0000  0.0000  0.0000 [3 per cell]  4 Se 2.81-2.88
Sn  0.0000  0.0000  0.2498 [3 per cell]  4 Se 2.64-2.70
Sn  0.1680  0.3359  0.4581 [9 per cell]  6 Se 2.84-3.01
Pb  0.0000  0.0000  0.6259 [3 per cell]  6 Se 3.02-3.11
Se  0.0000  0.0000  0.3767 [3 per cell]  4 Sn 2.70-3.01
Se  0.0000  0.0000  0.8645 [3 per cell]  1 Tl 2.88, 3 Sn 2.88
Se  0.0012  0.5006  0.8692 [9 per cell]  1 Sn 2.64
Se  0.0202  0.5101  0.3845 [9 per cell]  1 Tl 2.81, 2 Sn 2.84, 1 Pb 3.02



Compound: SmEr8Th4
Source: Alexandria via LeMat-Bulk
Functional: GGA-PBE
Structure: relaxed

**Formation energy**: 0.218 eV/atom
**Energy**: -5.24 eV/atom

Unit cell a=7.3488 b=7.3488 c=26.4350 alpha=90.00 beta=90.00 gamma=120.00
Closest atoms and distances in Å follow each position.
Space group R-3m (No. 166, hexagonal axes)
Unique sites:
Sm  0.0000  0.0000  0.0000 [3 per cell]  6 Er 2.91
Er  0.0000  0.0000  0.2790 [6 per cell]  9 Er 3.62-3.69, 3 Th 3.65
Er  0.0415  0.5207  0.2702 [18 per cell]  1 Sm 2.91, 2 Er 3.22
Th  0.0000  0.0000  0.5000 [3 per cell]  6 Er 3.31, 6 Th 3.67
Th  0.0000  0.5000  0.5000 [9 per cell]  6 Er 3.55-3.65, 6 Th 3.67



Compound: AgMo2W
Source: Alexandria via LeMat-Bulk
Functional: GGA-PBE
Structure: relaxed

**Formation energy**: 0.524 eV/atom
**Distance to the lowest polymorph of the same formula**: 107.2 kJ/mol of formula units
**Energy**: -8.84 eV/atom

Unit cell a=4.1580 b=4.1580 c=7.5059 alpha=90.00 beta=90.00 gamma=90.00
Closest atoms and distances in Å follow each position.
Space group I4/mmm (No. 139)
Unique sites:
Ag  0.0000  0.0000  0.0000 [2 per cell]  8 Mo 2.80, 4 W 2.94
Mo  0.0000  0.5000  0.2500 [4 per cell]  4 W 2.80, 4 Ag 2.80, 4 Mo 2.94
W  0.0000  0.0000  0.5000 [2 per cell]  8 Mo 2.80, 4 Ag 2.94



Compound: Hf3BeCr
Source: Alexandria via LeMat-Bulk
Functional: GGA-PBE
Structure: relaxed

**Formation energy**: 0.806 eV/atom
**Distance to the lowest polymorph of the same formula**: 0.0 kJ/mol of formula units
**Energy**: -7.84 eV/atom

Unit cell a=4.5859 b=4.5859 c=4.5859 alpha=90.00 beta=90.00 gamma=90.00
Closest atoms and distances in Å follow each position.
Space group Pm-3m (No. 221)
Unique sites:
Hf  0.0000  0.0000  0.5000 [3 per cell]  2 Be 2.29
Be  0.0000  0.0000  0.0000 [1 per cell]  6 Hf 2.29
Cr  0.5000  0.5000  0.5000 [1 per cell]  12 Hf 3.24



Q: Which value of energy does entry 4 give?
A: -5.24 eV/atom